# PBE-GGA Tb3DyEr6Th2, optimized geometry
data_Tb3DyEr6Th2
_cell_length_a 6.1364
_cell_length_b 10.6199
_cell_length_c 11.6779
_cell_angle_alpha 90.00
_cell_angle_beta 100.09
_cell_angle_gamma 90.00
_space_group_name_H-M_alt 'C 1 2/m 1'
_space_group_IT_number 12
_space_group_name_Hall '-C 2y'
loop_
_atom_site_label
_atom_site_type_symbol
_atom_site_fract_x
_atom_site_fract_y
_atom_site_fract_z
Tb1 Tb 0.0000 0.0000 0.0000
Tb2 Tb 0.0000 0.3337 0.0000
Dy1 Dy 0.0000 0.5000 0.5000
Er1 Er 0.2456 0.0000 0.7480
Er2 Er 0.2487 0.1685 0.2523
Th1 Th 0.0000 0.1667 0.5000
# Size of the total moment ... 0.00 μB/atom
# Formation energy from the elements ... 0.0214 eV/atom
# V ... 31.22 Å³ per atom
# E_tot ... -120.905 eV for the cell shown
# Fermi-level density of states ... 31.60 states/eV per cell